Compound: K
Source: the Alexandria database
Functional: GGA-PBE
Structure: relaxed

The structure belongs to space group Fd-3m (No. 227, origin choice 2); the cell edges are 9.467, 9.467 and 9.467 Å and the angles 90.00°, 90.00° and 90.00°. The inequivalent atoms are K at (0.125, 0.125, 0.125).

The value obtained for the total magnetization is 0.000 μB/cell. The calculation puts the volume at 106.06 Å³ per atom. For the formation energy, the calculation gives 28.79 kJ/mol of atoms.